# 1
Computed, not measured: a relaxed structure of BaSi2As2 at the PBE level of DFT.

```
BaSi2As2
1.0
5.049 0.000 0.000
0.000 5.049 0.000
0.000 0.000 9.193
Ba Si As
2 4 4
Direct
0.000 0.000 0.000
0.500 0.500 0.500
0.000 0.000 0.351
0.000 0.000 0.649
0.500 0.500 0.149
0.500 0.500 0.851
0.000 0.500 0.250
0.000 0.500 0.750
0.500 0.000 0.250
0.500 0.000 0.750
```

Output
**Uncorrected formation energy**: -0.224 eV per atom
**VASP energy**: -46.38 eV for the cell shown

=====

# 2
Computed, not measured: a relaxed structure of BaSiAs3 at the PBE level of DFT.

```
BaSiAs3
1.0
5.751 0.000 0.000
0.000 5.751 0.000
0.000 0.000 5.751
Ba Si As
1 1 3
Direct
0.000 0.000 0.000
0.500 0.500 0.500
0.000 0.000 0.500
0.000 0.500 0.000
0.500 0.000 0.000
```

Output
**Uncorrected formation energy**: 1.507 eV per atom
**E above lowest polymorph**: 1961 meV per atom
**VASP energy**: -13.76 eV for the cell shown

=====

# 3
Computed, not measured: a relaxed structure of Ba3SiAs at the PBE level of DFT.

```
Ba3SiAs
1.0
6.237 0.000 0.000
0.000 6.237 0.000
0.000 0.000 6.237
Ba Si As
3 1 1
Direct
0.000 0.000 0.500
0.000 0.500 0.000
0.500 0.000 0.000
0.500 0.500 0.500
0.000 0.000 0.000
```

Output
**Uncorrected formation energy**: -0.251 eV per atom
**E above lowest polymorph**: 0 meV per atom
**VASP energy**: -17.10 eV for the cell shown